{"formula": "Rb2TlMoO6", "functional": "PBE+U", "state": "optimized geometry", "lattice_angstrom": [[-1.5643, 5.0205, -3.3974], [-4.4141, 3.9281, 2.0688], [5.0037, 8.3582, 4.2790]], "species": ["O", "O", "O", "O", "O", "O", "O", "O", "O", "O", "O", "O", "Mo", "Mo", "Tl", "Tl", "Rb", "Rb", "Rb", "Rb"], "fractional_positions": [[0.1747, 0.6040, 0.6174], [0.1832, 0.1832, 0.8861], [0.3960, 0.8253, 0.3826], [0.8253, 0.3960, 0.3826], [0.8168, 0.8168, 0.1139], [0.6040, 0.6040, 0.6174], [0.6040, 0.1747, 0.6174], [0.3960, 0.3960, 0.3826], [0.1832, 0.7475, 0.8861], [0.7475, 0.1832, 0.8861], [0.2525, 0.8168, 0.1139], [0.8168, 0.2525, 0.1139], [0.5000, 0.5000, 0.5000], [0.0000, 0.0000, 0.0000], [0.6013, 0.6013, 0.1960], [0.3987, 0.3987, 0.8040], [0.2745, 0.2745, 0.1766], [0.8707, 0.8707, 0.3879], [0.1293, 0.1293, 0.6121], [0.7255, 0.7255, 0.8234]], "total_magnetization_mub_per_fu": 1.074, "space_group": "No. 166", "e_tot_ev_per_cell": -106.50}